Entry 1:
# HgAuCl6, optimized geometry, DFT GGA-PBE
data_HgAuCl6
_chemical_formula_sum 'Hg1 Au1 Cl6'
_space_group_name_H-M_alt 'P 1'
_space_group_IT_number 1
_cell_length_a 6.447
_cell_length_b 9.423
_cell_length_c 6.026
_cell_angle_alpha 59.01
_cell_angle_beta 59.70
_cell_angle_gamma 55.16
loop_
_space_group_symop_operation_xyz
'x,y,z'
loop_
_atom_site_label
_atom_site_type_symbol
_atom_site_fract_x
_atom_site_fract_y
_atom_site_fract_z
Cl1 Cl 0.918 0.496 0.297
Cl2 Cl 0.637 0.262 0.096
Cl3 Cl 0.785 0.005 0.785
Cl4 Cl 0.082 0.504 0.703
Cl5 Cl 0.215 0.995 0.215
Cl6 Cl 0.363 0.738 0.904
Hg1 Hg 0.500 0.500 0.500
Au1 Au 0.000 0.000 0.000
# energy relative to the lowest polymorph listed for this composition	10	meV/atom
# space-group type	P-1
# formation energy without anion corrections	-0.26	eV/atom
# DFT total energy	-16.78	eV for the cell shown

Entry 2:
# Hg2AuCl8, optimized geometry, DFT GGA-PBE
data_Hg2AuCl8
_chemical_formula_sum 'Hg2 Au1 Cl8'
_space_group_name_H-M_alt 'P 1'
_space_group_IT_number 1
_cell_length_a 9.401
_cell_length_b 6.871
_cell_length_c 6.871
_cell_angle_alpha 59.22
_cell_angle_beta 74.41
_cell_angle_gamma 74.41
loop_
_space_group_symop_operation_xyz
'x,y,z'
loop_
_atom_site_label
_atom_site_type_symbol
_atom_site_fract_x
_atom_site_fract_y
_atom_site_fract_z
Cl1 Cl 0.529 0.827 0.827
Cl2 Cl 0.095 0.097 0.622
Cl3 Cl 0.905 0.903 0.378
Cl4 Cl 0.095 0.622 0.097
Cl5 Cl 0.905 0.378 0.903
Cl6 Cl 0.706 0.463 0.463
Cl7 Cl 0.471 0.173 0.173
Cl8 Cl 0.294 0.537 0.537
Hg1 Hg 0.416 0.679 0.679
Hg2 Hg 0.584 0.321 0.321
Au1 Au 0.000 0.000 0.000
# space-group type	C2/m
# formation energy without anion corrections	-0.36	eV/atom
# DFT total energy	-22.56	eV for the cell shown

Entry 3:
# HgAuCl, optimized geometry, DFT GGA-PBE
data_HgAuCl
_chemical_formula_sum 'Hg1 Au1 Cl1'
_space_group_name_H-M_alt 'P 1'
_space_group_IT_number 1
_cell_length_a 4.767
_cell_length_b 4.767
_cell_length_c 4.767
_cell_angle_alpha 60.00
_cell_angle_beta 60.00
_cell_angle_gamma 60.00
loop_
_space_group_symop_operation_xyz
'x,y,z'
loop_
_atom_site_label
_atom_site_type_symbol
_atom_site_fract_x
_atom_site_fract_y
_atom_site_fract_z
Cl1 Cl 0.000 0.000 0.000
Au1 Au 0.250 0.250 0.250
Hg1 Hg 0.500 0.500 0.500
# energy relative to the lowest polymorph listed for this composition	174	meV/atom
# space-group type	F-43m
# formation energy without anion corrections	0.07	eV/atom
# DFT total energy	-5.22	eV for the cell shown

Entry 4:
# Hg8AuCl2, optimized geometry, DFT GGA-PBE
data_Hg8AuCl2
_chemical_formula_sum 'Hg8 Au1 Cl2'
_space_group_name_H-M_alt 'P 1'
_space_group_IT_number 1
_cell_length_a 4.177
_cell_length_b 6.503
_cell_length_c 13.648
_cell_angle_alpha 113.50
_cell_angle_beta 98.82
_cell_angle_gamma 88.21
loop_
_space_group_symop_operation_xyz
'x,y,z'
loop_
_atom_site_label
_atom_site_type_symbol
_atom_site_fract_x
_atom_site_fract_y
_atom_site_fract_z
Hg1 Hg 0.209 0.929 0.415
Hg2 Hg 0.791 0.071 0.585
Hg3 Hg 0.747 0.265 0.202
Hg4 Hg 0.253 0.735 0.798
Hg5 Hg 0.624 0.769 0.238
Hg6 Hg 0.051 0.753 0.062
Hg7 Hg 0.376 0.231 0.762
Hg8 Hg 0.949 0.247 0.938
Cl1 Cl 0.235 0.377 0.353
Cl2 Cl 0.765 0.623 0.647
Au1 Au 0.500 0.000 0.000
# space-group type	P-1
# formation energy without anion corrections	-0.15	eV/atom
# DFT total energy	-11.01	eV for the cell shown

Entry 5:
# Hg4AuCl, optimized geometry, DFT GGA-PBE
data_Hg4AuCl
_chemical_formula_sum 'Hg8 Au2 Cl2'
_space_group_name_H-M_alt 'P 1'
_space_group_IT_number 1
_cell_length_a 7.306
_cell_length_b 7.111
_cell_length_c 7.111
_cell_angle_alpha 87.36
_cell_angle_beta 110.28
_cell_angle_gamma 110.28
loop_
_space_group_symop_operation_xyz
'x,y,z'
loop_
_atom_site_label
_atom_site_type_symbol
_atom_site_fract_x
_atom_site_fract_y
_atom_site_fract_z
Hg1 Hg 0.949 0.079 0.671
Hg2 Hg 0.389 0.882 0.650
Hg3 Hg 0.889 0.650 0.882
Hg4 Hg 0.449 0.671 0.079
Hg5 Hg 0.611 0.118 0.350
Hg6 Hg 0.551 0.329 0.921
Hg7 Hg 0.051 0.921 0.329
Hg8 Hg 0.111 0.350 0.118
Au1 Au 0.750 0.004 0.996
Au2 Au 0.250 0.996 0.004
Cl1 Cl 0.250 0.446 0.554
Cl2 Cl 0.750 0.554 0.446
# energy relative to the lowest polymorph listed for this composition	22	meV/atom
# space-group type	C2/c
# formation energy without anion corrections	-0.09	eV/atom
# DFT total energy	-13.80	eV for the cell shown

Entry 6:
# Hg12Au3Cl5, optimized geometry, DFT GGA-PBE
data_Hg12Au3Cl5
_chemical_formula_sum 'Hg48 Au12 Cl20'
_space_group_name_H-M_alt 'P 1'
_space_group_IT_number 1
_cell_length_a 14.663
_cell_length_b 14.663
_cell_length_c 14.663
_cell_angle_alpha 109.47
_cell_angle_beta 109.47
_cell_angle_gamma 109.47
loop_
_space_group_symop_operation_xyz
'x,y,z'
loop_
_atom_site_label
_atom_site_type_symbol
_atom_site_fract_x
_atom_site_fract_y
_atom_site_fract_z
Cl1 Cl 0.500 0.000 0.500
Cl2 Cl 0.500 0.500 0.000
Cl3 Cl 0.000 0.500 0.500
Cl4 Cl 0.000 0.500 0.000
Cl5 Cl 0.875 0.625 0.750
Cl6 Cl 0.625 0.750 0.875
Cl7 Cl 0.375 0.125 0.750
Cl8 Cl 0.000 0.000 0.500
Cl9 Cl 0.125 0.750 0.375
Cl10 Cl 0.750 0.625 0.375
Cl11 Cl 0.375 0.250 0.125
Cl12 Cl 0.250 0.875 0.125
Cl13 Cl 0.250 0.375 0.625
Cl14 Cl 0.875 0.250 0.625
Cl15 Cl 0.125 0.375 0.250
Cl16 Cl 0.500 0.000 0.000
Cl17 Cl 0.750 0.125 0.875
Cl18 Cl 0.000 0.000 0.000
Cl19 Cl 0.500 0.500 0.500
Cl20 Cl 0.625 0.875 0.250
Hg1 Hg 0.938 0.109 0.867
Hg2 Hg 0.759 0.329 0.891
Hg3 Hg 0.429 0.671 0.062
Hg4 Hg 0.571 0.241 0.133
Hg5 Hg 0.929 0.367 0.259
Hg6 Hg 0.609 0.741 0.671
Hg7 Hg 0.241 0.671 0.109
Hg8 Hg 0.929 0.562 0.171
Hg9 Hg 0.391 0.133 0.562
Hg10 Hg 0.438 0.071 0.329
Hg11 Hg 0.241 0.571 0.633
Hg12 Hg 0.829 0.938 0.071
Hg13 Hg 0.671 0.241 0.609
Hg14 Hg 0.062 0.171 0.429
Hg15 Hg 0.329 0.759 0.391
Hg16 Hg 0.062 0.891 0.133
Hg17 Hg 0.367 0.438 0.109
Hg18 Hg 0.741 0.609 0.171
Hg19 Hg 0.867 0.259 0.429
Hg20 Hg 0.741 0.133 0.071
Hg21 Hg 0.259 0.867 0.929
Hg22 Hg 0.867 0.609 0.938
Hg23 Hg 0.133 0.391 0.062
Hg24 Hg 0.367 0.929 0.759
Hg25 Hg 0.571 0.329 0.938
Hg26 Hg 0.891 0.829 0.759
Hg27 Hg 0.109 0.938 0.367
Hg28 Hg 0.829 0.891 0.259
Hg29 Hg 0.329 0.571 0.438
Hg30 Hg 0.671 0.429 0.562
Hg31 Hg 0.609 0.867 0.438
Hg32 Hg 0.562 0.929 0.671
Hg33 Hg 0.391 0.259 0.329
Hg34 Hg 0.071 0.633 0.741
Hg35 Hg 0.259 0.391 0.829
Hg36 Hg 0.438 0.367 0.609
Hg37 Hg 0.109 0.171 0.241
Hg38 Hg 0.633 0.071 0.241
Hg39 Hg 0.759 0.429 0.367
Hg40 Hg 0.171 0.062 0.929
Hg41 Hg 0.429 0.759 0.867
Hg42 Hg 0.562 0.633 0.391
Hg43 Hg 0.891 0.062 0.633
Hg44 Hg 0.133 0.741 0.571
Hg45 Hg 0.633 0.562 0.891
Hg46 Hg 0.071 0.438 0.829
Hg47 Hg 0.938 0.829 0.571
Hg48 Hg 0.171 0.109 0.741
Au1 Au 0.375 0.625 0.250
Au2 Au 0.250 0.625 0.875
Au3 Au 0.125 0.250 0.875
Au4 Au 0.375 0.750 0.625
Au5 Au 0.625 0.375 0.750
Au6 Au 0.750 0.875 0.625
Au7 Au 0.625 0.250 0.375
Au8 Au 0.750 0.375 0.125
Au9 Au 0.875 0.125 0.250
Au10 Au 0.125 0.875 0.750
Au11 Au 0.875 0.750 0.125
Au12 Au 0.250 0.125 0.375
# space-group type	Ia-3d
# formation energy without anion corrections	-0.10	eV/atom
# DFT total energy	-98.83	eV for the cell shown

Entry 7:
# HgAu2Cl2, optimized geometry, DFT GGA-PBE
data_HgAu2Cl2
_chemical_formula_sum 'Hg1 Au2 Cl2'
_space_group_name_H-M_alt 'P 1'
_space_group_IT_number 1
_cell_length_a 3.984
_cell_length_b 3.984
_cell_length_c 9.483
_cell_angle_alpha 77.87
_cell_angle_beta 77.87
_cell_angle_gamma 90.00
loop_
_space_group_symop_operation_xyz
'x,y,z'
loop_
_atom_site_label
_atom_site_type_symbol
_atom_site_fract_x
_atom_site_fract_y
_atom_site_fract_z
Au1 Au 0.750 0.250 0.500
Au2 Au 0.250 0.750 0.500
Cl1 Cl 0.357 0.357 0.286
Cl2 Cl 0.643 0.643 0.714
Hg1 Hg 0.000 0.000 0.000
# energy relative to the lowest polymorph listed for this composition	0	meV/atom
# space-group type	I4/mmm
# formation energy without anion corrections	0.12	eV/atom
# DFT total energy	-9.93	eV for the cell shown

Entry 8:
# Hg2AuCl6, optimized geometry, DFT GGA-PBE
data_Hg2AuCl6
_chemical_formula_sum 'Hg4 Au2 Cl12'
_space_group_name_H-M_alt 'P 1'
_space_group_IT_number 1
_cell_length_a 7.866
_cell_length_b 8.378
_cell_length_c 8.378
_cell_angle_alpha 82.71
_cell_angle_beta 90.62
_cell_angle_gamma 90.62
loop_
_space_group_symop_operation_xyz
'x,y,z'
loop_
_atom_site_label
_atom_site_type_symbol
_atom_site_fract_x
_atom_site_fract_y
_atom_site_fract_z
Hg1 Hg 0.302 0.248 0.382
Hg2 Hg 0.198 0.618 0.752
Hg3 Hg 0.802 0.382 0.248
Hg4 Hg 0.698 0.752 0.618
Cl1 Cl 0.132 0.120 0.630
Cl2 Cl 0.108 0.480 0.286
Cl3 Cl 0.859 0.183 0.047
Cl4 Cl 0.608 0.286 0.480
Cl5 Cl 0.868 0.880 0.370
Cl6 Cl 0.141 0.817 0.953
Cl7 Cl 0.892 0.520 0.714
Cl8 Cl 0.632 0.630 0.120
Cl9 Cl 0.641 0.953 0.817
Cl10 Cl 0.392 0.714 0.520
Cl11 Cl 0.359 0.047 0.183
Cl12 Cl 0.368 0.370 0.880
Au1 Au 0.750 0.904 0.096
Au2 Au 0.250 0.096 0.904
# energy relative to the lowest polymorph listed for this composition	31	meV/atom
# space-group type	C2/c
# formation energy without anion corrections	-0.41	eV/atom
# DFT total energy	-37.36	eV for the cell shown

Entry 9:
# HgAu2Cl6, optimized geometry, DFT GGA-PBE
data_HgAu2Cl6
_chemical_formula_sum 'Hg2 Au4 Cl12'
_space_group_name_H-M_alt 'P 1'
_space_group_IT_number 1
_cell_length_a 7.086
_cell_length_b 10.907
_cell_length_c 10.907
_cell_angle_alpha 65.91
_cell_angle_beta 55.12
_cell_angle_gamma 55.12
loop_
_space_group_symop_operation_xyz
'x,y,z'
loop_
_atom_site_label
_atom_site_type_symbol
_atom_site_fract_x
_atom_site_fract_y
_atom_site_fract_z
Cl1 Cl 0.206 0.670 0.032
Cl2 Cl 0.084 0.647 0.632
Cl3 Cl 0.416 0.368 0.353
Cl4 Cl 0.706 0.032 0.670
Cl5 Cl 0.294 0.968 0.330
Cl6 Cl 0.794 0.330 0.968
Cl7 Cl 0.212 0.008 0.711
Cl8 Cl 0.584 0.632 0.647
Cl9 Cl 0.788 0.992 0.289
Cl10 Cl 0.712 0.711 0.008
Cl11 Cl 0.288 0.289 0.992
Cl12 Cl 0.916 0.353 0.368
Hg1 Hg 0.750 0.815 0.185
Hg2 Hg 0.250 0.185 0.815
Au1 Au 0.655 0.825 0.657
Au2 Au 0.845 0.343 0.175
Au3 Au 0.155 0.657 0.825
Au4 Au 0.345 0.175 0.343
# energy relative to the lowest polymorph listed for this composition	21	meV/atom
# space-group type	C2/c
# formation energy without anion corrections	-0.28	eV/atom
# DFT total energy	-40.95	eV for the cell shown

Entry 10:
# HgAu2Cl6, optimized geometry, DFT GGA-PBE
data_HgAu2Cl6
_chemical_formula_sum 'Hg2 Au4 Cl12'
_space_group_name_H-M_alt 'P 1'
_space_group_IT_number 1
_cell_length_a 5.195
_cell_length_b 10.726
_cell_length_c 10.726
_cell_angle_alpha 90.39
_cell_angle_beta 75.48
_cell_angle_gamma 75.48
loop_
_space_group_symop_operation_xyz
'x,y,z'
loop_
_atom_site_label
_atom_site_type_symbol
_atom_site_fract_x
_atom_site_fract_y
_atom_site_fract_z
Cl1 Cl 0.681 0.977 0.788
Cl2 Cl 0.157 0.134 0.597
Cl3 Cl 0.326 0.717 0.569
Cl4 Cl 0.674 0.283 0.431
Cl5 Cl 0.174 0.431 0.283
Cl6 Cl 0.319 0.023 0.212
Cl7 Cl 0.826 0.569 0.717
Cl8 Cl 0.343 0.403 0.866
Cl9 Cl 0.657 0.597 0.134
Cl10 Cl 0.181 0.788 0.977
Cl11 Cl 0.843 0.866 0.403
Cl12 Cl 0.819 0.212 0.023
Hg1 Hg 0.750 0.896 0.104
Hg2 Hg 0.250 0.104 0.896
Au1 Au 0.825 0.725 0.560
Au2 Au 0.675 0.440 0.275
Au3 Au 0.325 0.560 0.725
Au4 Au 0.175 0.275 0.440
# energy relative to the lowest polymorph listed for this composition	0	meV/atom
# space-group type	C2/c
# formation energy without anion corrections	-0.30	eV/atom
# DFT total energy	-41.32	eV for the cell shown

Entry 11:
# HgAuCl4, optimized geometry, DFT GGA-PBE
data_HgAuCl4
_chemical_formula_sum 'Hg1 Au1 Cl4'
_space_group_name_H-M_alt 'P 1'
_space_group_IT_number 1
_cell_length_a 5.942
_cell_length_b 5.942
_cell_length_c 5.942
_cell_angle_alpha 60.00
_cell_angle_beta 60.00
_cell_angle_gamma 60.00
loop_
_space_group_symop_operation_xyz
'x,y,z'
loop_
_atom_site_label
_atom_site_type_symbol
_atom_site_fract_x
_atom_site_fract_y
_atom_site_fract_z
Hg1 Hg 0.750 0.750 0.750
Au1 Au 0.000 0.000 0.000
Cl1 Cl 0.375 0.375 0.375
Cl2 Cl 0.375 0.375 0.875
Cl3 Cl 0.875 0.375 0.375
Cl4 Cl 0.375 0.875 0.375
# energy relative to the lowest polymorph listed for this composition	1069	meV/atom
# space-group type	F-43m
# formation energy without anion corrections	0.69	eV/atom
# DFT total energy	-6.85	eV for the cell shown

Entry 12:
# Hg2Au2Cl, optimized geometry, DFT GGA-PBE
data_Hg2Au2Cl
_chemical_formula_sum 'Hg4 Au4 Cl2'
_space_group_name_H-M_alt 'P 1'
_space_group_IT_number 1
_cell_length_a 8.865
_cell_length_b 8.865
_cell_length_c 2.876
_cell_angle_alpha 90.00
_cell_angle_beta 90.00
_cell_angle_gamma 90.00
loop_
_space_group_symop_operation_xyz
'x,y,z'
loop_
_atom_site_label
_atom_site_type_symbol
_atom_site_fract_x
_atom_site_fract_y
_atom_site_fract_z
Hg1 Hg 0.809 0.691 0.000
Hg2 Hg 0.191 0.309 0.000
Hg3 Hg 0.691 0.191 0.000
Hg4 Hg 0.309 0.809 0.000
Au1 Au 0.390 0.110 0.500
Au2 Au 0.110 0.610 0.500
Au3 Au 0.610 0.890 0.500
Au4 Au 0.890 0.390 0.500
Cl1 Cl 0.000 0.000 0.000
Cl2 Cl 0.500 0.500 0.000
# energy relative to the lowest polymorph listed for this composition	76	meV/atom
# space-group type	P4/mbm
# formation energy without anion corrections	0.02	eV/atom
# DFT total energy	-17.84	eV for the cell shown

Number 9 is which compound? HgAu2Cl6

Look up the DFT total energy of the eleventh one. -6.85 eV for the cell shown

Among the records above, which one has the highest DFT total energy? HgAuCl